A plane-wave DFT calculation with GGA-PBE was carried out for a relaxed Li5Bi3Pb crystal.

* VASP energy: -3.107 eV per atom
* M_tot: 0.0 Bohr magnetons per cell
* V: 415 Å³ per cell
* E_form: -0.3377 eV/atom
* SG: P6_3/mcm, No. 193

a = 8.708 Å, b = 8.708 Å, c = 6.322 Å
α = 90.00°, β = 90.00°, γ = 120.00°
Positions (direct):
Li: 0.000 0.312 0.250
Li: 0.000 0.688 0.750
Li: 0.312 0.000 0.250
Li: 0.312 0.312 0.750
Li: 0.333 0.667 0.000
Li: 0.333 0.667 0.500
Li: 0.667 0.333 0.000
Li: 0.667 0.333 0.500
Li: 0.688 0.000 0.750
Li: 0.688 0.688 0.250
Bi: 0.000 0.365 0.750
Bi: 0.000 0.635 0.250
Bi: 0.365 0.000 0.750
Bi: 0.365 0.365 0.250
Bi: 0.635 0.000 0.250
Bi: 0.635 0.635 0.750
Pb: 0.000 0.000 0.000
Pb: 0.000 0.000 0.500

A plane-wave DFT calculation with GGA-PBE was carried out for a relaxed Li2Bi3Pb4 crystal.

* VASP energy: -3.473 eV per atom
* M_tot: 0.0 Bohr magnetons per cell
* V: 524 Å³ per cell
* E_form: -0.1063 eV/atom
* SG: C2/c, No. 15

a = 9.593 Å, b = 9.593 Å, c = 5.988 Å
α = 96.04°, β = 96.04°, γ = 73.75°
Positions (direct):
Li: 0.028 0.769 0.665
Li: 0.231 0.972 0.835
Li: 0.769 0.028 0.165
Li: 0.972 0.231 0.335
Bi: 0.107 0.893 0.250
Bi: 0.173 0.464 0.447
Bi: 0.464 0.173 0.947
Bi: 0.536 0.827 0.053
Bi: 0.827 0.536 0.553
Bi: 0.893 0.107 0.750
Pb: 0.112 0.329 0.905
Pb: 0.311 0.588 0.984
Pb: 0.329 0.112 0.405
Pb: 0.412 0.689 0.516
Pb: 0.588 0.311 0.484
Pb: 0.671 0.888 0.595
Pb: 0.689 0.412 0.016
Pb: 0.888 0.671 0.095

A plane-wave DFT calculation with GGA-PBE was carried out for a relaxed Li7BiPb4 crystal.

* VASP energy: -2.895 eV per atom
* M_tot: 0.0 Bohr magnetons per cell
* V: 276 Å³ per cell
* E_form: -0.2186 eV/atom
* SG: C2/m, No. 12

a = 5.898 Å, b = 5.898 Å, c = 10.900 Å
α = 112.66°, β = 112.66°, γ = 53.82°
Positions (direct):
Li: 0.000 0.000 0.000
Li: 0.124 0.124 0.483
Li: 0.285 0.285 0.086
Li: 0.411 0.411 0.703
Li: 0.589 0.589 0.297
Li: 0.715 0.715 0.914
Li: 0.876 0.876 0.517
Bi: 0.500 0.500 0.000
Pb: 0.125 0.125 0.779
Pb: 0.332 0.332 0.378
Pb: 0.668 0.668 0.622
Pb: 0.875 0.875 0.221

A plane-wave DFT calculation with GGA-PBE was carried out for a relaxed Li2BiPb4 crystal.

* VASP energy: -3.276 eV per atom
* M_tot: 0.0 Bohr magnetons per cell
* V: 192 Å³ per cell
* E_form: -0.0554 eV/atom
* SG: Fmmm, No. 69

a = 7.646 Å, b = 6.616 Å, c = 6.057 Å
α = 74.07°, β = 56.31°, γ = 49.62°
Positions (direct):
Li: 0.235 0.235 0.765
Li: 0.765 0.765 0.235
Bi: 0.500 0.500 0.500
Pb: 0.164 0.836 0.164
Pb: 0.250 0.250 0.250
Pb: 0.750 0.750 0.750
Pb: 0.836 0.164 0.836

A plane-wave DFT calculation with GGA-PBE was carried out for a relaxed Li2BiPb2 crystal.

* VASP energy: -3.188 eV per atom
* M_tot: 0.0 Bohr magnetons per cell
* V: 253 Å³ per cell
* E_form: -0.1630 eV/atom
* SG: P4/mbm, No. 127
* polymorph energy (0 for the lowest one): 49.0 meV per atom

a = 8.536 Å, b = 8.536 Å, c = 3.471 Å
α = 90.00°, β = 90.00°, γ = 90.00°
Positions (direct):
Li: 0.167 0.333 0.000
Li: 0.333 0.833 0.000
Li: 0.667 0.167 0.000
Li: 0.833 0.667 0.000
Bi: 0.000 0.000 0.500
Bi: 0.500 0.500 0.500
Pb: 0.132 0.632 0.500
Pb: 0.368 0.132 0.500
Pb: 0.632 0.868 0.500
Pb: 0.868 0.368 0.500

A plane-wave DFT calculation with GGA-PBE was carried out for a relaxed Li2Bi2Pb crystal.

* VASP energy: -3.291 eV per atom
* M_tot: 0.0 Bohr magnetons per cell
* V: 130 Å³ per cell
* E_form: -0.2314 eV/atom
* SG: P-3m1, No. 164
* polymorph energy (0 for the lowest one): 20.4 meV per atom

a = 4.978 Å, b = 4.978 Å, c = 6.042 Å
α = 90.00°, β = 90.00°, γ = 120.00°
Positions (direct):
Li: 0.333 0.667 0.159
Li: 0.667 0.333 0.841
Bi: 0.333 0.667 0.656
Bi: 0.667 0.333 0.344
Pb: 0.000 0.000 0.000

A plane-wave DFT calculation with GGA-PBE was carried out for a relaxed LiBiPb3 crystal.

* VASP energy: -3.476 eV per atom
* M_tot: 0.0 Bohr magnetons per cell
* V: 581 Å³ per cell
* E_form: -0.0919 eV/atom
* SG: P2_1/c, No. 14
* polymorph energy (0 for the lowest one): 0.0 meV per atom

a = 8.858 Å, b = 6.588 Å, c = 10.402 Å
α = 90.00°, β = 106.83°, γ = 90.00°
Positions (direct):
Li: 0.176 0.003 0.424
Li: 0.176 0.497 0.924
Li: 0.824 0.503 0.076
Li: 0.824 0.997 0.576
Bi: 0.151 0.240 0.669
Bi: 0.151 0.260 0.169
Bi: 0.849 0.740 0.831
Bi: 0.849 0.760 0.331
Pb: 0.135 0.736 0.661
Pb: 0.135 0.764 0.161
Pb: 0.313 0.525 0.454
Pb: 0.313 0.975 0.954
Pb: 0.499 0.012 0.670
Pb: 0.499 0.488 0.170
Pb: 0.501 0.512 0.830
Pb: 0.501 0.988 0.330
Pb: 0.687 0.025 0.046
Pb: 0.687 0.475 0.546
Pb: 0.865 0.236 0.839
Pb: 0.865 0.264 0.339

A plane-wave DFT calculation with GGA-PBE was carried out for a relaxed Li2BiPb2 crystal.

* VASP energy: -3.237 eV per atom
* M_tot: 0.0 Bohr magnetons per cell
* V: 258 Å³ per cell
* E_form: -0.2120 eV/atom
* SG: P2_1/m, No. 11
* polymorph energy (0 for the lowest one): 0.0 meV per atom

a = 5.064 Å, b = 4.834 Å, c = 10.575 Å
α = 90.00°, β = 94.39°, γ = 90.00°
Positions (direct):
Li: 0.222 0.250 0.158
Li: 0.272 0.250 0.499
Li: 0.728 0.750 0.501
Li: 0.778 0.750 0.842
Bi: 0.210 0.750 0.329
Bi: 0.790 0.250 0.671
Pb: 0.253 0.750 0.685
Pb: 0.288 0.750 0.999
Pb: 0.712 0.250 0.001
Pb: 0.747 0.250 0.315

A plane-wave DFT calculation with GGA-PBE was carried out for a relaxed LiBi6Pb8 crystal.

* VASP energy: -3.657 eV per atom
* M_tot: 0.0 Bohr magnetons per cell
* V: 475 Å³ per cell
* E_form: 0.0007 eV/atom
* SG: P-1, No. 2

a = 7.688 Å, b = 7.753 Å, c = 8.383 Å
α = 107.68°, β = 93.74°, γ = 90.39°
Positions (direct):
Li: 0.000 0.000 0.000
Bi: 0.146 0.398 0.357
Bi: 0.196 0.634 0.955
Bi: 0.330 0.997 0.278
Bi: 0.670 0.003 0.722
Bi: 0.804 0.366 0.045
Bi: 0.854 0.602 0.643
Pb: 0.043 0.218 0.685
Pb: 0.261 0.838 0.668
Pb: 0.379 0.237 0.006
Pb: 0.472 0.378 0.646
Pb: 0.528 0.622 0.354
Pb: 0.621 0.763 0.994
Pb: 0.739 0.162 0.332
Pb: 0.957 0.782 0.315

A plane-wave DFT calculation with GGA-PBE was carried out for a relaxed Li8BiPb2 crystal.

* VASP energy: -2.752 eV per atom
* M_tot: 0.0 Bohr magnetons per cell
* V: 223 Å³ per cell
* E_form: -0.3330 eV/atom
* SG: C2/m, No. 12

a = 8.169 Å, b = 8.169 Å, c = 6.718 Å
α = 114.02°, β = 114.02°, γ = 33.35°
Positions (direct):
Li: 0.001 0.001 0.223
Li: 0.168 0.168 0.670
Li: 0.347 0.347 0.616
Li: 0.350 0.350 0.078
Li: 0.650 0.650 0.922
Li: 0.653 0.653 0.384
Li: 0.832 0.832 0.330
Li: 0.999 0.999 0.777
Bi: 0.500 0.500 0.500
Pb: 0.186 0.186 0.185
Pb: 0.814 0.814 0.815

Question: Which formula does entry 4 have?
Answer: Li2BiPb4